Density functional theory data (PBE) for crystalline Ba4NaLi2 at its relaxed geometry.

a b c (Å): 11.1563 11.1563 11.1563
angles (deg): 32.63 32.63 32.63
Positions (direct):
Ba 0.1216 0.1216 0.1216
Ba 0.2899 0.2899 0.2899
Ba 0.7101 0.7101 0.7101
Ba 0.8784 0.8784 0.8784
Na 0.5000 0.5000 0.5000
Li 0.4071 0.4071 0.4071
Li 0.5929 0.5929 0.5929

magnetization = 0.13 μB per formula unit
VASP energy = -11.86 eV/cell
symmetry = R-3m (166)
formation energy = 0.975 eV per formula unit

Density functional theory data (PBE) for crystalline LaCo3Si3 at its relaxed geometry.

a b c (Å): 6.2343 6.2343 6.2343
angles (deg): 90.00 90.00 90.00
Positions (direct):
La 0.0000 0.0000 0.0000
La 0.5000 0.5000 0.5000
Co 0.0000 0.2500 0.5000
Co 0.0000 0.7500 0.5000
Co 0.2500 0.5000 0.0000
Co 0.5000 0.0000 0.2500
Co 0.5000 0.0000 0.7500
Co 0.7500 0.5000 0.0000
Si 0.0000 0.5000 0.2500
Si 0.0000 0.5000 0.7500
Si 0.2500 0.0000 0.5000
Si 0.5000 0.2500 0.0000
Si 0.5000 0.7500 0.0000
Si 0.7500 0.0000 0.5000

magnetization = 0.00 μB per formula unit
VASP energy = -89.00 eV/cell
symmetry = Pm-3n (223)

Density functional theory data (PBE) for crystalline Li3BPt3Au2 at its relaxed geometry.

a b c (Å): 7.2026 7.2026 2.8269
angles (deg): 90.00 90.00 120.00
Positions (direct):
Li 0.0000 0.6207 0.0000
Li 0.3793 0.3793 0.0000
Li 0.6207 0.0000 0.0000
B 0.0000 0.0000 0.0000
Pt 0.0000 0.2331 0.5000
Pt 0.2331 0.0000 0.5000
Pt 0.7669 0.7669 0.5000
Au 0.3333 0.6667 0.5000
Au 0.6667 0.3333 0.5000

magnetization = 0.00 μB per formula unit
VASP energy = -41.74 eV/cell
symmetry = P-62m (189)
formation energy = -4.642 eV per formula unit

Density functional theory data (PBE) for crystalline Li2ZnH6 at its relaxed geometry.

a b c (Å): 4.4382 4.4382 4.4382
angles (deg): 60.00 60.00 60.00
Positions (direct):
Li 0.2500 0.2500 0.2500
Li 0.7500 0.7500 0.7500
Zn 0.0000 0.0000 0.0000
H 0.2720 0.2720 0.7280
H 0.2720 0.7280 0.2720
H 0.2720 0.7280 0.7280
H 0.7280 0.2720 0.2720
H 0.7280 0.2720 0.7280
H 0.7280 0.7280 0.2720

magnetization = 0.00 μB per formula unit
VASP energy = -23.76 eV/cell
symmetry = Fm-3m (225)